# GGA-PBE CrAu8, optimized geometry
data_CrAu8
_chemical_formula_sum 'Cr2 Au16'
_space_group_name_H-M_alt 'I 4/m m m'
_space_group_IT_number 139
_space_group_name_Hall '-I 4 2'
_cell_length_a 8.8339
_cell_length_b 8.8339
_cell_length_c 4.1048
_cell_angle_alpha 90.00
_cell_angle_beta 90.00
_cell_angle_gamma 90.00
loop_
_atom_site_label
_atom_site_type_symbol
_atom_site_fract_x
_atom_site_fract_y
_atom_site_fract_z
Cr1 Cr 0.0000 0.0000 0.0000
Au1 Au 0.0000 0.3303 0.0000
Au2 Au 0.1630 0.1630 0.5000
# ΔH_f (0 K): 20 meV/atom
# magnetic moment: 8.84 μB per cell
# offset from the most stable computed form: 0 meV/atom

# GGA-PBE Cr3Au2, optimized geometry
data_Cr3Au2
_chemical_formula_sum 'Cr9 Au6'
_space_group_name_H-M_alt 'R -3 m'
_space_group_IT_number 166
_space_group_name_Hall '-R 3 2"'
_cell_length_a 2.8945
_cell_length_b 2.8945
_cell_length_c 31.8719
_cell_angle_alpha 90.00
_cell_angle_beta 90.00
_cell_angle_gamma 120.00
loop_
_atom_site_label
_atom_site_type_symbol
_atom_site_fract_x
_atom_site_fract_y
_atom_site_fract_z
Cr1 Cr 0.0000 0.0000 0.0000
Cr2 Cr 0.0000 0.0000 0.1903
Au1 Au 0.0000 0.0000 0.4042
# ΔH_f (0 K): 393 meV/atom
# magnetic moment: 11.71 μB per cell

# GGA-PBE CrAu8, optimized geometry
data_CrAu8
_chemical_formula_sum 'Cr2 Au16'
_space_group_name_H-M_alt 'I 4/m m m'
_space_group_IT_number 139
_space_group_name_Hall '-I 4 2'
_cell_length_a 11.3804
_cell_length_b 11.3804
_cell_length_c 2.7851
_cell_angle_alpha 90.00
_cell_angle_beta 90.00
_cell_angle_gamma 90.00
loop_
_atom_site_label
_atom_site_type_symbol
_atom_site_fract_x
_atom_site_fract_y
_atom_site_fract_z
Cr1 Cr 0.0000 0.0000 0.0000
Au1 Au 0.0000 0.3422 0.0000
Au2 Au 0.1676 0.1676 0.0000
# ΔH_f (0 K): 269 meV/atom
# magnetic moment: 8.88 μB per cell
# offset from the most stable computed form: 249 meV/atom

# GGA-PBE Cr3Au, optimized geometry
data_Cr3Au
_chemical_formula_sum 'Cr12 Au4'
_space_group_name_H-M_alt 'P 63/m m c'
_space_group_IT_number 194
_space_group_name_Hall '-P 6c 2c'
_cell_length_a 5.3694
_cell_length_b 5.3694
_cell_length_c 8.4869
_cell_angle_alpha 90.00
_cell_angle_beta 90.00
_cell_angle_gamma 120.00
loop_
_atom_site_label
_atom_site_type_symbol
_atom_site_fract_x
_atom_site_fract_y
_atom_site_fract_z
Cr1 Cr 0.0000 0.5000 0.0000
Cr2 Cr 0.1872 0.3744 0.2500
Au1 Au 0.0000 0.0000 0.0000
Au2 Au 0.3333 0.6667 0.7500
# ΔH_f (0 K): 294 meV/atom
# magnetic moment: 0.01 μB per cell

# GGA-PBE CrAu5, optimized geometry
data_CrAu5
_chemical_formula_sum 'Cr4 Au20'
_space_group_name_H-M_alt 'F -4 3 m'
_space_group_IT_number 216
_space_group_name_Hall 'F -4 2 3'
_cell_length_a 7.7323
_cell_length_b 7.7323
_cell_length_c 7.7323
_cell_angle_alpha 90.00
_cell_angle_beta 90.00
_cell_angle_gamma 90.00
loop_
_atom_site_label
_atom_site_type_symbol
_atom_site_fract_x
_atom_site_fract_y
_atom_site_fract_z
Cr1 Cr 0.0000 0.0000 0.0000
Au1 Au 0.1250 0.1250 0.6250
Au2 Au 0.2500 0.2500 0.2500
# ΔH_f (0 K): 205 meV/atom
# magnetic moment: 18.54 μB per cell

# GGA-PBE CrAu5, optimized geometry
data_CrAu5
_chemical_formula_sum 'Cr2 Au10'
_space_group_name_H-M_alt 'A m m 2'
_space_group_IT_number 38
_space_group_name_Hall 'A 2 -2'
_cell_length_a 4.7922
_cell_length_b 3.0032
_cell_length_c 14.8048
_cell_angle_alpha 90.00
_cell_angle_beta 90.00
_cell_angle_gamma 90.00
loop_
_atom_site_label
_atom_site_type_symbol
_atom_site_fract_x
_atom_site_fract_y
_atom_site_fract_z
Cr1 Cr 0.0000 0.0000 0.0000
Au1 Au 0.0000 0.0000 0.3387
Au2 Au 0.0000 0.0000 0.6627
Au3 Au 0.5000 0.0000 0.1131
Au4 Au 0.5000 0.0000 0.4495
Au5 Au 0.5000 0.0000 0.7810
# ΔH_f (0 K): 72 meV/atom
# magnetic moment: 8.51 μB per cell

# GGA-PBE CrAu7, optimized geometry
data_CrAu7
_chemical_formula_sum 'Cr4 Au28'
_space_group_name_H-M_alt 'F m -3 m'
_space_group_IT_number 225
_space_group_name_Hall '-F 4 2 3'
_cell_length_a 8.2866
_cell_length_b 8.2866
_cell_length_c 8.2866
_cell_angle_alpha 90.00
_cell_angle_beta 90.00
_cell_angle_gamma 90.00
loop_
_atom_site_label
_atom_site_type_symbol
_atom_site_fract_x
_atom_site_fract_y
_atom_site_fract_z
Cr1 Cr 0.0000 0.0000 0.0000
Au1 Au 0.0000 0.0000 0.5000
Au2 Au 0.0000 0.2500 0.2500
# ΔH_f (0 K): 45 meV/atom
# magnetic moment: 15.95 μB per cell

# GGA-PBE Cr2Au3, optimized geometry
data_Cr2Au3
_chemical_formula_sum 'Cr6 Au9'
_space_group_name_H-M_alt 'R -3 m'
_space_group_IT_number 166
_space_group_name_Hall '-R 3 2"'
_cell_length_a 3.0156
_cell_length_b 3.0156
_cell_length_c 32.9502
_cell_angle_alpha 90.00
_cell_angle_beta 90.00
_cell_angle_gamma 120.00
loop_
_atom_site_label
_atom_site_type_symbol
_atom_site_fract_x
_atom_site_fract_y
_atom_site_fract_z
Cr1 Cr 0.0000 0.0000 0.1010
Au1 Au 0.0000 0.0000 0.2968
Au2 Au 0.0000 0.0000 0.5000
# ΔH_f (0 K): 327 meV/atom
# magnetic moment: 22.19 μB per cell

# GGA-PBE Cr3Au, optimized geometry
data_Cr3Au
_chemical_formula_sum 'Cr6 Au2'
_space_group_name_H-M_alt 'I m m 2'
_space_group_IT_number 44
_space_group_name_Hall 'I 2 -2'
_cell_length_a 2.5636
_cell_length_b 8.7087
_cell_length_c 4.7656
_cell_angle_alpha 90.00
_cell_angle_beta 90.00
_cell_angle_gamma 90.00
loop_
_atom_site_label
_atom_site_type_symbol
_atom_site_fract_x
_atom_site_fract_y
_atom_site_fract_z
Cr1 Cr 0.0000 0.0000 0.0000
Cr2 Cr 0.0000 0.2560 0.6808
Au1 Au 0.0000 0.5000 0.0087
# ΔH_f (0 K): 460 meV/atom
# magnetic moment: 0.01 μB per cell

# GGA-PBE Cr3Au, optimized geometry
data_Cr3Au
_chemical_formula_sum 'Cr6 Au2'
_space_group_name_H-M_alt 'P m m n'
_space_group_IT_number 59
_cell_length_a 4.1254
_cell_length_b 5.3577
_cell_length_c 4.8265
_cell_angle_alpha 90.00
_cell_angle_beta 90.00
_cell_angle_gamma 90.00
loop_
_space_group_symop_operation_xyz
'x,y,z'
'-x,-y,-z'
'-x+1/2,-y+1/2,z'
'x+1/2,y+1/2,-z'
'x+1/2,-y,-z'
'-x+1/2,y,z'
'-x,y+1/2,-z'
'x,-y+1/2,z'
loop_
_atom_site_label
_atom_site_type_symbol
_atom_site_fract_x
_atom_site_fract_y
_atom_site_fract_z
Cr1 Cr 0.2500 0.0195 0.1472
Cr2 Cr 0.2500 0.7500 0.7222
Au1 Au 0.2500 0.2500 0.6497
# ΔH_f (0 K): 315 meV/atom
# magnetic moment: 0.00 μB per cell

# GGA-PBE Cr3Au, optimized geometry
data_Cr3Au
_chemical_formula_sum 'Cr6 Au2'
_space_group_name_H-M_alt 'C m m m'
_space_group_IT_number 65
_space_group_name_Hall '-C 2 2'
_cell_length_a 3.0080
_cell_length_b 4.2606
_cell_length_c 8.3590
_cell_angle_alpha 90.00
_cell_angle_beta 90.00
_cell_angle_gamma 90.00
loop_
_atom_site_label
_atom_site_type_symbol
_atom_site_fract_x
_atom_site_fract_y
_atom_site_fract_z
Cr1 Cr 0.0000 0.0000 0.0000
Cr2 Cr 0.0000 0.5000 0.2228
Au1 Au 0.0000 0.0000 0.5000
# ΔH_f (0 K): 306 meV/atom
# magnetic moment: 0.00 μB per cell

# GGA-PBE Cr4Au, optimized geometry
data_Cr4Au
_chemical_formula_sum 'Cr4 Au1'
_space_group_name_H-M_alt 'P m -3 m'
_space_group_IT_number 221
_space_group_name_Hall '-P 4 2 3'
_cell_length_a 4.9939
_cell_length_b 4.9939
_cell_length_c 4.9939
_cell_angle_alpha 90.00
_cell_angle_beta 90.00
_cell_angle_gamma 90.00
loop_
_atom_site_label
_atom_site_type_symbol
_atom_site_fract_x
_atom_site_fract_y
_atom_site_fract_z
Cr1 Cr 0.0000 0.0000 0.0000
Cr2 Cr 0.0000 0.5000 0.5000
Au1 Au 0.5000 0.5000 0.5000
# ΔH_f (0 K): 1660 meV/atom
# magnetic moment: 17.44 μB per cell
# offset from the most stable computed form: 1379 meV/atom